1.
# Ho2ZnFe2Ni5 (PBE-GGA, optimized geometry)
# **E_form**: -0.15 eV per atom
# **DOS(E_F)**: 18.1 states/eV/cell
# **Crystal system**: tetragonal
data_Ho2ZnFe2Ni5
_chemical_formula_sum 'Ho4 Zn2 Fe4 Ni10'
_cell_length_a 8.842
_cell_length_b 8.842
_cell_length_c 3.735
_cell_angle_alpha 90.00
_cell_angle_beta 90.00
_cell_angle_gamma 90.00
_symmetry_space_group_name_H-M 'P 4/m b m'
_symmetry_Int_Tables_number 127
_symmetry_space_group_name_Hall '-P 4 2ab'
loop_
_atom_site_label
_atom_site_fract_x
_atom_site_fract_y
_atom_site_fract_z
Ho1 0.183 0.317 0.000
Zn1 0.000 0.000 0.000
Fe1 0.114 0.614 0.000
Ni1 0.000 0.500 0.500
Ni2 0.062 0.789 0.500

2.
# Rb2Cd2Pb3 (PBE-GGA, optimized geometry)
# **E_form**: -0.06 eV per atom
# **DOS(E_F)**: 9.1 states/eV/cell
# **Crystal system**: monoclinic
data_Rb2Cd2Pb3
_chemical_formula_sum 'Rb4 Cd4 Pb6'
_cell_length_a 13.217
_cell_length_b 4.992
_cell_length_c 8.714
_cell_angle_alpha 90.00
_cell_angle_beta 118.61
_cell_angle_gamma 90.00
_symmetry_space_group_name_H-M 'C 1 2/m 1'
_symmetry_Int_Tables_number 12
loop_
_symmetry_equiv_pos_as_xyz
'x,y,z'
'-x,-y,-z'
'-x,y,-z'
'x,-y,z'
'x+1/2,y+1/2,z'
'-x+1/2,-y+1/2,-z'
'-x+1/2,y+1/2,-z'
'x+1/2,-y+1/2,z'
loop_
_atom_site_label
_atom_site_fract_x
_atom_site_fract_y
_atom_site_fract_z
Rb1 0.156 0.000 0.296
Cd1 0.137 0.000 0.752
Pb1 0.000 0.500 0.500
Pb2 0.110 0.500 0.944

3.
# LaNbSi2Tc (PBE-GGA, optimized geometry)
# **DOS(E_F)**: 6.2 states/eV/cell
# **Energy relative to the elements, uncorrected**: -3.07 eV per formula unit
# **Crystal system**: tetragonal
data_LaNbSi2Tc
_chemical_formula_sum 'La2 Nb2 Si4 Tc2'
_cell_length_a 4.110
_cell_length_b 4.110
_cell_length_c 11.328
_cell_angle_alpha 90.00
_cell_angle_beta 90.00
_cell_angle_gamma 90.00
_symmetry_space_group_name_H-M 'I -4 m 2'
_symmetry_Int_Tables_number 119
_symmetry_space_group_name_Hall 'I -4 -2'
loop_
_atom_site_label
_atom_site_fract_x
_atom_site_fract_y
_atom_site_fract_z
La1 0.000 0.000 0.000
Nb1 0.000 0.500 0.750
Si1 0.000 0.000 0.388
Tc1 0.000 0.500 0.250

4.
# La3Pm3Mg (PBE-GGA, optimized geometry)
# **Relative energy among the computed polymorphs**: 16 meV/atom
# **E_form**: 0.03 eV per atom
# **DOS(E_F)**: 23.2 states/eV/cell
# **Crystal system**: hexagonal
data_La3Pm3Mg
_chemical_formula_sum 'La6 Pm6 Mg2'
_cell_length_a 9.7254
_cell_length_b 9.7254
_cell_length_c 5.8452
_cell_angle_alpha 90.00
_cell_angle_beta 90.00
_cell_angle_gamma 120.00
_symmetry_space_group_name_H-M 'P 63/m'
_symmetry_Int_Tables_number 176
_symmetry_space_group_name_Hall '-P 6c'
loop_
_atom_site_label
_atom_site_fract_x
_atom_site_fract_y
_atom_site_fract_z
La1 0.0595 0.2474 0.2500
Pm1 0.1037 0.4807 0.7500
Mg1 0.3333 0.6667 0.2500

5.
# CaZr3Hg (PBE-GGA, optimized geometry)
# **Relative energy among the computed polymorphs**: 0 meV/atom
# **E_form**: 0.81 eV per atom
# **DOS(E_F)**: 11.6 states/eV/cell
# **Crystal system**: cubic
data_CaZr3Hg
_chemical_formula_sum 'Ca1 Zr3 Hg1'
_cell_length_a 5.382
_cell_length_b 5.382
_cell_length_c 5.382
_cell_angle_alpha 90.00
_cell_angle_beta 90.00
_cell_angle_gamma 90.00
_symmetry_space_group_name_H-M 'P m -3 m'
_symmetry_Int_Tables_number 221
_symmetry_space_group_name_Hall '-P 4 2 3'
loop_
_atom_site_label
_atom_site_fract_x
_atom_site_fract_y
_atom_site_fract_z
Ca1 0.000 0.000 0.000
Zr1 0.000 0.500 0.500
Hg1 0.500 0.500 0.500

6.
# Ni2RhAuN (PBE-GGA, optimized geometry)
# **Relative energy among the computed polymorphs**: 2239 meV/atom
# **DOS(E_F)**: 12.2 states/eV/cell
# **Energy relative to the elements, uncorrected**: 11.67 eV per formula unit
# **Crystal system**: tetragonal
data_Ni2RhAuN
_chemical_formula_sum 'Ni2 Rh1 Au1 N1'
_cell_length_a 4.417
_cell_length_b 4.417
_cell_length_c 5.068
_cell_angle_alpha 90.00
_cell_angle_beta 90.00
_cell_angle_gamma 90.00
_symmetry_space_group_name_H-M 'P 4/m m m'
_symmetry_Int_Tables_number 123
_symmetry_space_group_name_Hall '-P 4 2'
loop_
_atom_site_label
_atom_site_fract_x
_atom_site_fract_y
_atom_site_fract_z
Ni1 0.000 0.500 0.000
Rh1 0.000 0.000 0.000
Au1 0.000 0.000 0.500
N1 0.500 0.500 0.500

Look up the DOS(E_F) of the third one.
6.2 states/eV/cell